# GGA-PBE Ba4Pa6O19, relaxed
data_Ba4Pa6O19
_chemical_formula_sum 'Ba8 Pa12 O38'
_space_group_name_H-M_alt 'I 2 3'
_space_group_IT_number 197
_space_group_name_Hall 'I 2 2 3'
_cell_length_a 10.390
_cell_length_b 10.390
_cell_length_c 10.390
_cell_angle_alpha 90.00
_cell_angle_beta 90.00
_cell_angle_gamma 90.00
loop_
_atom_site_label
_atom_site_type_symbol
_atom_site_fract_x
_atom_site_fract_y
_atom_site_fract_z
Ba1 Ba 0.146 0.146 0.854
Pa1 Pa 0.000 0.330 0.500
O1 O 0.000 0.000 0.000
O2 O 0.000 0.000 0.372
O3 O 0.007 0.328 0.709
# E_tot   -516.276 eV for the cell shown
# D(E_F)   0.000 states/eV per atom